# 1
A plane-wave DFT calculation with PBE was carried out for Pm12Sn3Au5 after structural relaxation. Values from VASP.

Quantum ESPRESSO input file:
```
&SYSTEM
  ibrav = 0, nat = 80, ntyp = 3
/
ATOMIC_SPECIES
Au 196.97 Au.upf
Pm 145.00 Pm.upf
Sn 118.71 Sn.upf
CELL_PARAMETERS angstrom
15.4095 0.0000 0.0000
-5.1365 14.5282 0.0000
-5.1365 -7.2641 12.5818
ATOMIC_POSITIONS crystal
Au 0.7500 0.1250 0.8750
Pm 0.5470 0.2165 0.1273
Pm 0.7165 0.1273 0.0470
Pm 0.9196 0.0891 0.8727
Au 0.1250 0.3750 0.2500
Pm 0.3727 0.4196 0.0891
Pm 0.2835 0.8727 0.9530
Au 0.0000 0.0000 0.5000
Sn 0.6250 0.3750 0.7500
Sn 0.3750 0.7500 0.6250
Pm 0.4109 0.1273 0.5804
Pm 0.9109 0.0804 0.6273
Au 0.1250 0.7500 0.3750
Pm 0.4196 0.0470 0.3305
Pm 0.7835 0.4530 0.3727
Pm 0.3305 0.7835 0.4109
Au 0.5000 0.5000 0.0000
Pm 0.5470 0.3305 0.9196
Pm 0.9109 0.8305 0.7835
Pm 0.1695 0.0804 0.9530
Pm 0.4530 0.7835 0.8727
Au 0.2500 0.8750 0.1250
Pm 0.8305 0.9109 0.2835
Sn 0.1250 0.2500 0.8750
Pm 0.6695 0.2165 0.5891
Sn 0.8750 0.1250 0.2500
Au 0.5000 0.0000 0.0000
Sn 0.3750 0.6250 0.2500
Pm 0.2165 0.6695 0.0891
Pm 0.6695 0.4530 0.5804
Pm 0.0470 0.6273 0.7165
Sn 0.2500 0.6250 0.8750
Sn 0.7500 0.8750 0.6250
Pm 0.8727 0.2835 0.4530
Au 0.3750 0.2500 0.1250
Pm 0.9530 0.5804 0.1695
Pm 0.1695 0.0891 0.7165
Pm 0.0804 0.1695 0.4530
Pm 0.4109 0.2835 0.3305
Pm 0.6273 0.0470 0.2165
Pm 0.0470 0.4196 0.8305
Pm 0.0891 0.1695 0.2165
Pm 0.3727 0.9530 0.7835
Pm 0.5804 0.6273 0.4109
Au 0.8750 0.2500 0.6250
Pm 0.1273 0.7165 0.5470
Pm 0.5804 0.9530 0.6695
Pm 0.5891 0.7165 0.6695
Au 0.7500 0.6250 0.3750
Sn 0.8750 0.7500 0.1250
Au 0.6250 0.7500 0.8750
Pm 0.4196 0.3727 0.5891
Pm 0.0891 0.9196 0.3727
Pm 0.9530 0.3727 0.2835
Au 0.5000 0.0000 0.5000
Pm 0.2835 0.4109 0.8305
Au 0.0000 0.0000 0.0000
Au 0.8750 0.6250 0.7500
Pm 0.9196 0.8305 0.5470
Au 0.5000 0.5000 0.5000
Sn 0.2500 0.1250 0.3750
Pm 0.0804 0.9109 0.1273
Pm 0.2165 0.5470 0.6273
Sn 0.6250 0.2500 0.3750
Au 0.0000 0.5000 0.5000
Au 0.2500 0.3750 0.6250
Au 0.3750 0.1250 0.7500
Sn 0.7500 0.3750 0.1250
Au 0.0000 0.5000 0.0000
Pm 0.7165 0.5891 0.1695
Sn 0.1250 0.8750 0.7500
Pm 0.8305 0.9196 0.0470
Pm 0.5891 0.8727 0.4196
Pm 0.1273 0.4109 0.0804
Pm 0.4530 0.6695 0.0804
Pm 0.8727 0.5891 0.9196
Pm 0.7835 0.3305 0.9109
Au 0.6250 0.8750 0.2500
Pm 0.6273 0.5804 0.9109
Pm 0.3305 0.5470 0.4196
```

Values from the calculation:
Total magnetization = 0.00 μB per formula unit
SG = Ia-3d (230)



# 2
A plane-wave DFT calculation with PBE was carried out for PmSn2Au6 after structural relaxation. Values from VASP.

Quantum ESPRESSO input file:
```
&SYSTEM
  ibrav = 0, nat = 9, ntyp = 3
/
ATOMIC_SPECIES
Sn 118.71 Sn.upf
Au 196.97 Au.upf
Pm 145.00 Pm.upf
CELL_PARAMETERS angstrom
3.6404 0.0000 0.0000
1.8202 7.8939 0.8099
1.8202 3.0424 7.3289
ATOMIC_POSITIONS crystal
Sn 0.6425 0.8575 0.8575
Sn 0.3575 0.1425 0.1425
Au 0.8222 0.8492 0.5064
Au 0.0000 0.8235 0.1765
Au 0.8222 0.5064 0.8492
Au 0.0000 0.1765 0.8235
Au 0.1778 0.4936 0.1508
Pm 0.5000 0.5000 0.5000
Au 0.1778 0.1508 0.4936
```

Values from the calculation:
Total magnetization = 0.00 μB per formula unit
SG = Immm (71)



| no. | Fermi-level density of states (states/eV/cell) | calculated formation energy (meV per atom) |
| --- | --- | --- |
| 1 | 103.0 | -308.3 |
| 2 | 4.4 | -291.7 |